Crystalline MnRu3F at its relaxed geometry, computed with PBE with a Hubbard U.

The energy above the most stable polymorph in this dataset comes out at 926.8 meV/atom. Its total energy is -5.58 eV per atom.

a = 4.621 Å, b = 4.621 Å, c = 4.621 Å
α = 90.00°, β = 90.00°, γ = 90.00°
Positions (direct):
1 F 0.500 0.500 0.500
2 Mn 0.000 0.000 0.000
3 Ru 0.000 0.500 0.000
4 Ru 0.000 0.000 0.500
5 Ru 0.500 0.000 0.000

Crystalline Co3TeO8 at its relaxed geometry, computed with PBE with a Hubbard U.

Its total energy is -5.65 eV per atom.

a = 5.787 Å, b = 6.069 Å, c = 6.051 Å
α = 119.24°, β = 90.00°, γ = 118.48°
Positions (direct):
1 O 0.255 0.000 0.788
2 O 0.777 0.553 0.819
3 O 0.223 0.447 0.181
4 O 0.745 0.000 0.212
5 O 0.255 0.000 0.212
6 O 0.745 0.000 0.788
7 O 0.712 0.423 0.160
8 O 0.288 0.577 0.840
9 Co 0.000 0.500 0.000
10 Co 0.500 0.000 0.000
11 Co 0.500 0.500 0.000
12 Te 0.000 0.000 0.000